The following is a DFT calculation (PBE) of an optimized crystal structure of Cs2CaHoCl6.

a = 7.6693 Å, b = 7.6693 Å, c = 7.6693 Å
α = 120.05°, β = 119.98°, γ = 89.97°
Fractional positions:
Cs  0.2500  0.2500  0.0000
Cs  0.7500  0.7500  0.0000
Ca  0.5000  0.0000  0.5000
Ho  0.0000  0.5000  0.5000
Cl  0.2469  0.2531  0.5000
Cl  0.2469  0.7469  0.5000
Cl  0.2469  0.7469  0.9938
Cl  0.7531  0.2531  0.0062
Cl  0.7531  0.2531  0.5000
Cl  0.7531  0.7469  0.5000

E_form (uncorrected): -2.0695 eV per atom
D(E_F): 0.4460 states/eV per atom
Calculated volume: 31.89 Å³/atom
DFT total energy: -4.006 eV per atom
Size of the total moment: 0.060 μB/atom



The following is a DFT calculation (PBE) of an optimized crystal structure of Cs2CaICl3.

a = 9.7249 Å, b = 9.7249 Å, c = 9.7249 Å
α = 147.21°, β = 143.13°, γ = 50.16°
Fractional positions:
Cs  0.1512  0.1512  0.0000
Cs  0.8488  0.8488  0.0000
Ca  0.5000  0.5000  0.0000
I  0.0000  0.5000  0.5000
Cl  0.3443  0.3443  0.0000
Cl  0.5000  0.0000  0.5000
Cl  0.6557  0.6557  0.0000

E_form (uncorrected): -1.9954 eV per atom
D(E_F): 0.0000 states/eV per atom
Calculated volume: 42.49 Å³/atom
DFT total energy: -3.538 eV per atom
Size of the total moment: 0.000 μB/atom



The following is a DFT calculation (PBE) of an optimized crystal structure of CsCaICl2.

a = 5.4892 Å, b = 5.4892 Å, c = 6.2868 Å
α = 90.00°, β = 90.00°, γ = 90.00°
Fractional positions:
Cs  0.0000  0.0000  0.0000
Ca  0.5000  0.5000  0.5000
I  0.5000  0.5000  0.0000
Cl  0.0000  0.5000  0.5000
Cl  0.5000  0.0000  0.5000

E_form (uncorrected): -2.0338 eV per atom
D(E_F): 0.0000 states/eV per atom
Calculated volume: 37.89 Å³/atom
DFT total energy: -3.654 eV per atom
Size of the total moment: 0.000 μB/atom



The following is a DFT calculation (PBE) of an optimized crystal structure of Cs2CaICl6.

a = 8.0106 Å, b = 8.0106 Å, c = 8.0106 Å
α = 116.25°, β = 116.25°, γ = 96.63°
Fractional positions:
Cs  0.2500  0.7500  0.5000
Cs  0.7500  0.2500  0.5000
Ca  0.0000  0.0000  0.0000
I  0.5000  0.5000  0.0000
Cl  0.2233  0.2233  0.4467
Cl  0.2233  0.7767  0.0000
Cl  0.2656  0.2656  0.0000
Cl  0.7344  0.7344  0.0000
Cl  0.7767  0.2233  0.0000
Cl  0.7767  0.7767  0.5533

E_form (uncorrected): -1.4566 eV per atom
D(E_F): 0.6243 states/eV per atom
Calculated volume: 38.13 Å³/atom
DFT total energy: -3.090 eV per atom
Size of the total moment: 0.100 μB/atom



The following is a DFT calculation (PBE) of an optimized crystal structure of Cs3Ca2I3Cl4.

a = 15.6043 Å, b = 15.6043 Å, c = 15.6043 Å
α = 157.05°, β = 30.70°, γ = 159.88°
Fractional positions:
Cs  0.0000  0.0000  0.0000
Cs  0.1881  0.9992  0.1889
Cs  0.8104  0.9992  0.8111
Ca  0.3919  0.0002  0.3917
Ca  0.6085  0.0002  0.6083
I  0.4016  0.4996  0.9020
I  0.5009  0.0009  0.5000
I  0.5976  0.4996  0.0980
Cl  0.1091  0.5002  0.6089
Cl  0.3032  0.0006  0.3025
Cl  0.6981  0.0006  0.6975
Cl  0.8913  0.5002  0.3911

E_form (uncorrected): -1.9289 eV per atom
D(E_F): 0.0000 states/eV per atom
Calculated volume: 42.44 Å³/atom
DFT total energy: -3.479 eV per atom
Size of the total moment: 0.000 μB/atom



The following is a DFT calculation (PBE) of an optimized crystal structure of Cs2CaI2Cl2.

a = 10.4822 Å, b = 10.4822 Å, c = 10.4822 Å
α = 149.40°, β = 149.40°, γ = 43.83°
Fractional positions:
Cs  0.1337  0.1337  0.0000
Cs  0.8663  0.8663  0.0000
Ca  0.5000  0.5000  0.0000
I  0.3374  0.3374  0.0000
I  0.6626  0.6626  0.0000
Cl  0.0000  0.5000  0.5000
Cl  0.5000  0.0000  0.5000

E_form (uncorrected): -1.9302 eV per atom
D(E_F): 0.0000 states/eV per atom
Calculated volume: 42.52 Å³/atom
DFT total energy: -3.430 eV per atom
Size of the total moment: 0.000 μB/atom



The following is a DFT calculation (PBE) of an optimized crystal structure of Cs3Ca2I2Cl5.

a = 15.6585 Å, b = 15.6585 Å, c = 15.6585 Å
α = 159.75°, β = 159.75°, γ = 28.79°
Fractional positions:
Cs  0.0000  0.0000  0.0000
Cs  0.1750  0.1750  0.0000
Cs  0.8250  0.8250  0.0000
Ca  0.4099  0.4099  0.0000
Ca  0.5901  0.5901  0.0000
I  0.3057  0.3057  0.0000
I  0.6943  0.6943  0.0000
Cl  0.0889  0.5889  0.5000
Cl  0.4111  0.9111  0.5000
Cl  0.5000  0.5000  0.0000
Cl  0.5889  0.0889  0.5000
Cl  0.9111  0.4111  0.5000

E_form (uncorrected): -2.0776 eV per atom
D(E_F): 0.0000 states/eV per atom
Calculated volume: 38.32 Å³/atom
DFT total energy: -3.652 eV per atom
Size of the total moment: 0.000 μB/atom



The following is a DFT calculation (PBE) of an optimized crystal structure of Cs2CaI6Cl.

a = 8.8637 Å, b = 8.8637 Å, c = 8.8637 Å
α = 115.65°, β = 115.65°, γ = 97.72°
Fractional positions:
Cs  0.2500  0.7500  0.5000
Cs  0.7500  0.2500  0.5000
Ca  0.0000  0.0000  0.0000
I  0.2273  0.2273  0.4547
I  0.2273  0.7727  0.0000
I  0.2769  0.2769  0.0000
I  0.7231  0.7231  0.0000
I  0.7727  0.2273  0.0000
I  0.7727  0.7727  0.5453
Cl  0.5000  0.5000  0.0000

E_form (uncorrected): -0.9472 eV per atom
D(E_F): 2.1628 states/eV per atom
Calculated volume: 51.97 Å³/atom
DFT total energy: -2.433 eV per atom
Size of the total moment: 0.100 μB/atom



The following is a DFT calculation (PBE) of an optimized crystal structure of Cs4Ca3InCl12.

a = 9.4990 Å, b = 9.4990 Å, c = 9.4990 Å
α = 109.47°, β = 109.47°, γ = 109.47°
Fractional positions:
Cs  0.0000  0.0000  0.5000
Cs  0.0000  0.5000  0.0000
Cs  0.5000  0.0000  0.0000
Cs  0.5000  0.5000  0.5000
Ca  0.0000  0.5000  0.5000
Ca  0.5000  0.0000  0.5000
Ca  0.5000  0.5000  0.0000
In  0.0000  0.0000  0.0000
Cl  0.0000  0.2516  0.2516
Cl  0.0000  0.7484  0.7484
Cl  0.2500  0.5000  0.7500
Cl  0.2500  0.7500  0.5000
Cl  0.2516  0.0000  0.2516
Cl  0.2516  0.2516  0.0000
Cl  0.5000  0.2500  0.7500
Cl  0.5000  0.7500  0.2500
Cl  0.7484  0.0000  0.7484
Cl  0.7484  0.7484  0.0000
Cl  0.7500  0.2500  0.5000
Cl  0.7500  0.5000  0.2500

E_form (uncorrected): -2.0378 eV per atom
D(E_F): 0.2091 states/eV per atom
Calculated volume: 32.99 Å³/atom
DFT total energy: -3.754 eV per atom
Size of the total moment: 0.034 μB/atom



The following is a DFT calculation (PBE) of an optimized crystal structure of Cs3Ca2InCl9.

a = 7.7664 Å, b = 7.7664 Å, c = 9.5121 Å
α = 90.00°, β = 90.00°, γ = 120.00°
Fractional positions:
Cs  0.0000  0.0000  0.0000
Cs  0.3333  0.6667  0.6629
Cs  0.6667  0.3333  0.3371
Ca  0.3333  0.6667  0.1632
Ca  0.6667  0.3333  0.8368
In  0.0000  0.0000  0.5000
Cl  0.0000  0.5000  0.0000
Cl  0.1681  0.3362  0.3322
Cl  0.1681  0.8319  0.3322
Cl  0.3362  0.1681  0.6678
Cl  0.5000  0.0000  0.0000
Cl  0.5000  0.5000  0.0000
Cl  0.6638  0.8319  0.3322
Cl  0.8319  0.1681  0.6678
Cl  0.8319  0.6638  0.6678

E_form (uncorrected): -1.9560 eV per atom
D(E_F): 0.2410 states/eV per atom
Calculated volume: 33.13 Å³/atom
DFT total energy: -3.684 eV per atom
Size of the total moment: 0.056 μB/atom



The following is a DFT calculation (PBE) of an optimized crystal structure of Cs2CaInCl5.

a = 9.5194 Å, b = 9.5194 Å, c = 9.5194 Å
α = 147.58°, β = 132.53°, γ = 58.66°
Fractional positions:
Cs  0.2079  0.2079  0.0000
Cs  0.7921  0.7921  0.0000
Ca  0.0000  0.5000  0.5000
In  0.5000  0.0000  0.5000
Cl  0.0000  0.0000  0.0000
Cl  0.1334  0.3816  0.7518
Cl  0.3702  0.6184  0.7518
Cl  0.6298  0.3816  0.2482
Cl  0.8666  0.6184  0.2482

E_form (uncorrected): -1.8172 eV per atom
D(E_F): 0.0000 states/eV per atom
Calculated volume: 37.56 Å³/atom
DFT total energy: -3.560 eV per atom
Size of the total moment: 0.000 μB/atom



The following is a DFT calculation (PBE) of an optimized crystal structure of CsCaInCl6.

a = 6.9917 Å, b = 6.9917 Å, c = 7.7234 Å
α = 90.00°, β = 90.00°, γ = 120.00°
Fractional positions:
Cs  0.0000  0.0000  0.0000
Ca  0.6667  0.3333  0.5000
In  0.3333  0.6667  0.5000
Cl  0.0211  0.3849  0.3063
Cl  0.0211  0.6362  0.6937
Cl  0.3638  0.3849  0.6937
Cl  0.3638  0.9789  0.3063
Cl  0.6151  0.6362  0.3063
Cl  0.6151  0.9789  0.6937

E_form (uncorrected): -1.7745 eV per atom
D(E_F): 0.0000 states/eV per atom
Calculated volume: 36.33 Å³/atom
DFT total energy: -3.627 eV per atom
Size of the total moment: 0.000 μB/atom